1.
Here is Cd2Ga2Ge after structural relaxation from the Alexandria database. Energies are from PBE.

Lattice parameters (Å, degrees): 4.239 4.239 12.226 90.00 90.00 90.00
Space group I4/mmm (No. 139)
Asymmetric unit:
1 Cd 0.000 0.500 0.250 x4
2 Ga 0.000 0.000 0.099 x4
3 Ge 0.000 0.000 0.500 x2

## Properties
density = 6606 kg/m³
energy of formation = 0.23 eV per atom
relative energy among the computed polymorphs = 39.3 meV/atom

---

2.
Here is CdGa2Ge2 after structural relaxation from the Alexandria database. Energies are from PBE.

Lattice parameters (Å, degrees): 4.184 4.184 12.220 90.00 90.00 90.00
Space group I4/mmm (No. 139)
Asymmetric unit:
1 Cd 0.000 0.000 0.000 x2
2 Ga 0.000 0.000 0.395 x4
3 Ge 0.000 0.500 0.250 x4

## Properties
density = 6165 kg/m³
energy of formation = 0.18 eV per atom
relative energy among the computed polymorphs = 46.3 meV/atom

---

3.
Here is CdGa2Ge2 after structural relaxation from the Alexandria database. Energies are from PBE.

Lattice parameters (Å, degrees): 7.394 7.394 3.790 90.00 90.00 90.00
Space group P4/mbm (No. 127)
Asymmetric unit:
1 Cd 0.000 0.000 0.000 x2
2 Ga 0.165 0.335 0.500 x4
3 Ge 0.131 0.631 0.000 x4

## Properties
density = 6366 kg/m³
energy of formation = 0.17 eV per atom
relative energy among the computed polymorphs = 38.6 meV/atom

---

4.
Here is CdGa2Ge2 after structural relaxation from the Alexandria database. Energies are from PBE.

Lattice parameters (Å, degrees): 4.610 4.610 10.157 90.00 90.00 90.00
Space group I4/mmm (No. 139)
Asymmetric unit:
1 Cd 0.000 0.000 0.000 x2
2 Ga 0.000 0.500 0.250 x4
3 Ge 0.000 0.000 0.378 x4

## Properties
density = 6110 kg/m³
energy of formation = 0.13 eV per atom
relative energy among the computed polymorphs = 0.0 meV/atom

---

5.
Here is CdGa3Ge after structural relaxation from the Alexandria database. Energies are from PBE.

Lattice parameters (Å, degrees): 5.021 5.021 5.021 90.00 90.00 90.00
Space group Pm-3m (No. 221)
Asymmetric unit:
1 Cd 0.000 0.000 0.000 x1
2 Ga 0.000 0.500 0.500 x3
3 Ge 0.500 0.500 0.500 x1

## Properties
density = 5170 kg/m³
energy of formation = 0.37 eV per atom
relative energy among the computed polymorphs = 0.0 meV/atom

---

6.
Here is CdGaGe2 after structural relaxation from the Alexandria database. Energies are from PBE.

Lattice parameters (Å, degrees): 6.875 6.875 6.875 90.00 90.00 90.00
Space group Fm-3m (No. 225)
Asymmetric unit:
1 Cd 0.000 0.000 0.000 x4
2 Ga 0.000 0.000 0.500 x4
3 Ge 0.250 0.250 0.250 x8

## Properties
density = 6692 kg/m³
energy of formation = 0.24 eV per atom
relative energy among the computed polymorphs = 47.2 meV/atom

---

7.
Here is CdGa2Ge after structural relaxation from the Alexandria database. Energies are from PBE.

Lattice parameters (Å, degrees): 2.9743 2.9743 32.4478 90.00 90.00 120.00
Space group R-3m (No. 166, hexagonal axes)
Asymmetric unit:
1 Cd 0.0000 0.0000 0.0000 x3
2 Ga 0.0000 0.0000 0.0921 x6
3 Ge 0.0000 0.0000 0.5000 x3

## Properties
density = 6503 kg/m³
energy of formation = 0.11 eV per atom
relative energy among the computed polymorphs = 0.0 meV/atom

---

8.
Here is CdGa2Ge after structural relaxation from the Alexandria database. Energies are from PBE.

Lattice parameters (Å, degrees): 4.274 4.274 4.397 90.00 90.00 90.00
Space group P4/mmm (No. 123)
Asymmetric unit:
1 Cd 0.000 0.000 0.000 x1
2 Ga 0.000 0.500 0.500 x2
3 Ge 0.500 0.500 0.000 x1

## Properties
density = 6709 kg/m³
energy of formation = 0.13 eV per atom
relative energy among the computed polymorphs = 26.1 meV/atom

---

9.
Here is Cd2GaGe after structural relaxation from the Alexandria database. Energies are from PBE.

Lattice parameters (Å, degrees): 3.747 3.747 6.088 90.00 90.00 90.00
Space group P4/mmm (No. 123)
Asymmetric unit:
1 Cd 0.000 0.000 0.247 x2
2 Ga 0.500 0.500 0.000 x1
3 Ge 0.500 0.500 0.500 x1

## Properties
density = 7132 kg/m³
energy of formation = 0.15 eV per atom
relative energy among the computed polymorphs = 33.3 meV/atom

---

10.
Here is CdGaGe2 after structural relaxation from the Alexandria database. Energies are from PBE.

Lattice parameters (Å, degrees): 4.262 4.262 4.471 90.00 90.00 90.00
Space group P4/mmm (No. 123)
Asymmetric unit:
1 Cd 0.000 0.000 0.000 x1
2 Ga 0.500 0.500 0.000 x1
3 Ge 0.000 0.500 0.500 x2

## Properties
density = 6695 kg/m³
energy of formation = 0.19 eV per atom
relative energy among the computed polymorphs = 0.0 meV/atom

---

11.
Here is CdGa2Ge after structural relaxation from the Alexandria database. Energies are from PBE.

Lattice parameters (Å, degrees): 4.0802 4.0802 18.3433 90.00 90.00 120.00
Space group R3m (No. 160, hexagonal axes)
Asymmetric unit:
1 Cd 0.0000 0.0000 0.0000 x3
2 Ga 0.0000 0.0000 0.5704 x3
3 Ga 0.0000 0.0000 0.7662 x3
4 Ge 0.0000 0.0000 0.1683 x3

## Properties
density = 6112 kg/m³
energy of formation = 0.12 eV per atom
relative energy among the computed polymorphs = 10.4 meV/atom

---

12.
Here is CdGa4Ge after structural relaxation from the Alexandria database. Energies are from PBE.

Lattice parameters (Å, degrees): 7.890 7.890 7.890 90.00 90.00 90.00
Space group F-43m (No. 216)
Asymmetric unit:
1 Cd 0.000 0.000 0.000 x4
2 Ga 0.125 0.125 0.625 x16
3 Ge 0.250 0.250 0.250 x4

## Properties
density = 6273 kg/m³
energy of formation = 0.16 eV per atom

---

13.
Here is Cd2GaGe after structural relaxation from the Alexandria database. Energies are from PBE.

Lattice parameters (Å, degrees): 2.9502 2.9502 34.8949 90.00 90.00 120.00
Space group R-3m (No. 166, hexagonal axes)
Asymmetric unit:
1 Cd 0.0000 0.0000 0.0867 x6
2 Ga 0.0000 0.0000 0.0000 x3
3 Ge 0.0000 0.0000 0.5000 x3

## Properties
density = 6955 kg/m³
energy of formation = 0.16 eV per atom
relative energy among the computed polymorphs = 37.8 meV/atom

---

14.
Here is CdGa3Ge after structural relaxation from the Alexandria database. Energies are from PBE.

Lattice parameters (Å, degrees): 5.122 5.122 5.122 90.00 90.00 90.00
Space group Pm-3m (No. 221)
Asymmetric unit:
1 Cd 0.000 0.000 0.000 x1
2 Ga 0.000 0.000 0.500 x3
3 Ge 0.500 0.500 0.500 x1

## Properties
density = 4871 kg/m³
energy of formation = 0.66 eV per atom
relative energy among the computed polymorphs = 285.4 meV/atom

---

15.
Here is Cd2GaGe after structural relaxation from the Alexandria database. Energies are from PBE.

Lattice parameters (Å, degrees): 7.704 4.445 5.388 90.00 90.07 90.00
Space group C2/m (No. 12)
Asymmetric unit:
1 Cd 0.167 0.000 0.249 x4
2 Ga 0.000 0.500 0.000 x2
3 Ge 0.000 0.500 0.500 x2

## Properties
density = 6609 kg/m³
energy of formation = 0.12 eV per atom
relative energy among the computed polymorphs = 0.0 meV/atom